Computed, not measured: Sc6P5Cl after structural relaxation at the GGA-PBE level of DFT.

Cell lengths 6.523, 6.523, 6.511 Å; angles 99.61, 99.61, 119.92 degrees
Sites, in units of the cell vectors:
1 Sc 0.061 0.413 0.740
2 Sc 0.235 0.235 0.259
3 Sc 0.413 0.061 0.740
4 Sc 0.587 0.939 0.260
5 Sc 0.765 0.765 0.741
6 Sc 0.939 0.587 0.260
7 P 0.000 0.000 0.500
8 P 0.168 0.832 0.000
9 P 0.339 0.661 0.500
10 P 0.661 0.339 0.500
11 P 0.832 0.168 0.000
12 Cl 0.500 0.500 0.000

Results
* ΔE_f (raw): -1536 meV per atom

***

Computed, not measured: ZnSn3F after structural relaxation at the GGA-PBE level of DFT.

Cell lengths 5.206, 5.206, 5.206 Å; angles 90.00, 90.00, 90.00 degrees
Sites, in units of the cell vectors:
1 Zn 0.000 0.000 0.000
2 Sn 0.000 0.000 0.500
3 Sn 0.000 0.500 0.000
4 Sn 0.500 0.000 0.000
5 F 0.500 0.500 0.500

Results
* offset from the most stable computed form: 0.273 eV/atom
* ΔE_f (raw): 68 meV per atom

***

Computed, not measured: Si2AsRh after structural relaxation at the GGA-PBE level of DFT.

Cell lengths 4.209, 4.209, 5.711 Å; angles 111.73, 111.73, 45.92 degrees
Sites, in units of the cell vectors:
1 Si 0.000 0.000 0.000
2 Si 0.219 0.219 0.796
3 As 0.673 0.673 0.373
4 Rh 0.460 0.460 0.627

Results
* offset from the most stable computed form: 0.139 eV/atom
* ΔE_f (raw): -73 meV per atom

***

Computed, not measured: BaNaZr2Ge after structural relaxation at the GGA-PBE level of DFT.

Cell lengths 5.459, 5.459, 5.793 Å; angles 90.00, 90.00, 90.00 degrees
Sites, in units of the cell vectors:
1 Ba 0.000 0.000 0.000
2 Na 0.500 0.500 0.500
3 Zr 0.000 0.500 0.000
4 Zr 0.500 0.000 0.000
5 Ge 0.000 0.000 0.500

Results
* electronic total energy: -3.407 eV/atom

***

Computed, not measured: CaSmHo4Se8 after structural relaxation at the GGA-PBE level of DFT.

Cell lengths 8.482, 8.482, 8.482 Å; angles 59.65, 59.65, 59.65 degrees
Sites, in units of the cell vectors:
1 Ca 0.000 0.000 0.000
2 Sm 0.372 0.372 0.372
3 Ho 0.372 0.372 0.880
4 Ho 0.372 0.880 0.372
5 Ho 0.749 0.749 0.749
6 Ho 0.880 0.372 0.372
7 Se 0.130 0.130 0.596
8 Se 0.130 0.596 0.130
9 Se 0.135 0.135 0.135
10 Se 0.145 0.620 0.620
11 Se 0.596 0.130 0.130
12 Se 0.616 0.616 0.616
13 Se 0.620 0.145 0.620
14 Se 0.620 0.620 0.145

Results
* ΔE_f (raw): -1793 meV per atom

***

Computed, not measured: Mg2TcB2Ir5 after structural relaxation at the GGA-PBE level of DFT.

Cell lengths 9.671, 9.671, 2.901 Å; angles 90.00, 90.00, 90.00 degrees
Sites, in units of the cell vectors:
1 Mg 0.178 0.322 0.000
2 Mg 0.322 0.822 0.000
3 Mg 0.678 0.178 0.000
4 Mg 0.822 0.678 0.000
5 Tc 0.000 0.000 0.000
6 Tc 0.500 0.500 0.000
7 B 0.122 0.622 0.000
8 B 0.378 0.122 0.000
9 B 0.622 0.878 0.000
10 B 0.878 0.378 0.000
11 Ir 0.000 0.500 0.500
12 Ir 0.071 0.779 0.500
13 Ir 0.221 0.071 0.500
14 Ir 0.279 0.571 0.500
15 Ir 0.429 0.279 0.500
16 Ir 0.500 0.000 0.500
17 Ir 0.571 0.721 0.500
18 Ir 0.721 0.429 0.500
19 Ir 0.779 0.929 0.500
20 Ir 0.929 0.221 0.500

Results
* electronic total energy: -7.468 eV/atom

***

Computed, not measured: K2Cd2I5 after structural relaxation at the GGA-PBE level of DFT.

Cell lengths 8.663, 8.663, 8.793 Å; angles 113.72, 113.72, 41.59 degrees
Sites, in units of the cell vectors:
1 K 0.110 0.110 0.295
2 K 0.890 0.890 0.705
3 Cd 0.358 0.358 0.138
4 Cd 0.642 0.642 0.862
5 I 0.145 0.145 0.898
6 I 0.353 0.353 0.465
7 I 0.500 0.500 0.000
8 I 0.647 0.647 0.535
9 I 0.855 0.855 0.102

Results
* ΔE_f (raw): -871 meV per atom

***

Computed, not measured: CoGeOs2 after structural relaxation at the GGA-PBE level of DFT.

Cell lengths 6.497, 6.497, 6.497 Å; angles 130.25, 130.25, 73.00 degrees
Sites, in units of the cell vectors:
1 Co 0.000 0.000 0.000
2 Co 0.750 0.250 0.500
3 Ge 0.250 0.750 0.500
4 Ge 0.500 0.500 0.000
5 Os 0.095 0.625 0.970
6 Os 0.375 0.345 0.470
7 Os 0.655 0.125 0.030
8 Os 0.875 0.905 0.530

Results
* electronic total energy: -7.329 eV/atom

***

Computed, not measured: Zn3AgH after structural relaxation at the GGA-PBE level of DFT.

Cell lengths 4.048, 4.048, 4.048 Å; angles 90.00, 90.00, 90.00 degrees
Sites, in units of the cell vectors:
1 Zn 0.000 0.000 0.500
2 Zn 0.000 0.500 0.000
3 Zn 0.500 0.000 0.000
4 Ag 0.500 0.500 0.500
5 H 0.000 0.000 0.000

Results
* electronic total energy: -1.784 eV/atom

***

Computed, not measured: Hf3Zn2Fe after structural relaxation at the GGA-PBE level of DFT.

Cell lengths 7.228, 7.228, 6.573 Å; angles 90.00, 90.00, 143.05 degrees
Sites, in units of the cell vectors:
1 Hf 0.000 0.000 0.242
2 Hf 0.000 0.000 0.758
3 Hf 0.329 0.671 0.238
4 Hf 0.329 0.671 0.762
5 Hf 0.671 0.329 0.238
6 Hf 0.671 0.329 0.762
7 Zn 0.164 0.836 0.500
8 Zn 0.500 0.500 0.000
9 Zn 0.500 0.500 0.500
10 Zn 0.836 0.164 0.500
11 Fe 0.164 0.836 0.000
12 Fe 0.836 0.164 0.000

Results
* electronic total energy: -7.033 eV/atom

***

Computed, not measured: Ta2TiBe2Co5 after structural relaxation at the GGA-PBE level of DFT.

Cell lengths 8.588, 8.588, 3.163 Å; angles 90.00, 90.00, 90.00 degrees
Sites, in units of the cell vectors:
1 Ta 0.176 0.324 0.000
2 Ta 0.324 0.824 0.000
3 Ta 0.676 0.176 0.000
4 Ta 0.824 0.676 0.000
5 Ti 0.000 0.000 0.000
6 Ti 0.500 0.500 0.000
7 Be 0.119 0.619 0.000
8 Be 0.381 0.119 0.000
9 Be 0.619 0.881 0.000
10 Be 0.881 0.381 0.000
11 Co 0.000 0.500 0.500
12 Co 0.069 0.786 0.500
13 Co 0.214 0.069 0.500
14 Co 0.286 0.569 0.500
15 Co 0.431 0.286 0.500
16 Co 0.500 0.000 0.500
17 Co 0.569 0.714 0.500
18 Co 0.714 0.431 0.500
19 Co 0.786 0.931 0.500
20 Co 0.931 0.214 0.500

Results
* electronic total energy: -7.827 eV/atom

***

Computed, not measured: TlSnPS2 after structural relaxation at the GGA-PBE level of DFT.

Cell lengths 5.120, 5.120, 5.117 Å; angles 90.00, 90.00, 90.00 degrees
Sites, in units of the cell vectors:
1 Tl 0.000 0.000 0.000
2 Sn 0.500 0.500 0.500
3 P 0.500 0.500 0.000
4 S 0.000 0.500 0.500
5 S 0.500 0.000 0.500

Results
* offset from the most stable computed form: 0.000 eV/atom
* ΔE_f (raw): 330 meV per atom

***

Computed, not measured: Pr2YS after structural relaxation at the GGA-PBE level of DFT.

Cell lengths 9.874, 9.874, 9.874 Å; angles 22.78, 22.78, 22.78 degrees
Sites, in units of the cell vectors:
1 Pr 0.228 0.228 0.228
2 Pr 0.772 0.772 0.772
3 Y 0.000 0.000 0.000
4 S 0.500 0.500 0.500

Results
* ΔE_f (raw): -864 meV per atom

***

Computed, not measured: CsCdO2 after structural relaxation at the GGA-PBE level of DFT.

Cell lengths 6.193, 6.193, 6.193 Å; angles 115.02, 115.02, 98.87 degrees
Sites, in units of the cell vectors:
1 Cs 0.000 0.000 0.000
2 Cs 0.750 0.250 0.500
3 Cd 0.250 0.750 0.500
4 Cd 0.500 0.500 0.000
5 O 0.230 0.125 0.605
6 O 0.375 0.770 0.895
7 O 0.520 0.625 0.395
8 O 0.875 0.480 0.105

Results
* ΔE_f (raw): -806 meV per atom

***

Computed, not measured: TiAl2Pd after structural relaxation at the GGA-PBE level of DFT.

Cell lengths 8.913, 8.913, 8.913 Å; angles 18.70, 18.70, 18.70 degrees
Sites, in units of the cell vectors:
1 Ti 0.000 0.000 0.000
2 Al 0.246 0.246 0.246
3 Al 0.754 0.754 0.754
4 Pd 0.500 0.500 0.500

Results
* electronic total energy: -5.582 eV/atom

***

Computed, not measured: Zr5ScBi5 after structural relaxation at the GGA-PBE level of DFT.

Cell lengths 6.811, 6.811, 8.851 Å; angles 101.67, 101.67, 49.49 degrees
Sites, in units of the cell vectors:
1 Zr 0.000 0.000 0.000
2 Zr 0.308 0.308 0.103
3 Zr 0.421 0.421 0.821
4 Zr 0.579 0.579 0.179
5 Zr 0.692 0.692 0.897
6 Sc 0.000 0.000 0.500
7 Bi 0.166 0.166 0.788
8 Bi 0.167 0.167 0.323
9 Bi 0.500 0.500 0.500
10 Bi 0.833 0.833 0.677
11 Bi 0.834 0.834 0.212

Results
* electronic total energy: -6.420 eV/atom

***

Computed, not measured: O2F after structural relaxation at the GGA-PBE level of DFT.

Cell lengths 4.560, 4.560, 4.470 Å; angles 100.15, 100.15, 76.30 degrees
Sites, in units of the cell vectors:
1 O 0.002 0.002 0.367
2 O 0.415 0.415 0.953
3 O 0.585 0.585 0.047
4 O 0.998 0.998 0.633
5 F 0.268 0.268 0.290
6 F 0.732 0.732 0.710

Results
* offset from the most stable computed form: 0.074 eV/atom
* ΔE_f (raw): -16 meV per atom

***

Computed, not measured: PuUReNi after structural relaxation at the GGA-PBE level of DFT.

Cell lengths 4.549, 4.549, 4.549 Å; angles 60.00, 60.00, 60.00 degrees
Sites, in units of the cell vectors:
1 Pu 0.000 0.000 0.000
2 U 0.750 0.750 0.750
3 Re 0.500 0.500 0.500
4 Ni 0.250 0.250 0.250

Results
* electronic total energy: -11.025 eV/atom

***

Computed, not measured: TaCrFe2 after structural relaxation at the GGA-PBE level of DFT.

Cell lengths 2.775, 2.775, 6.542 Å; angles 90.00, 90.00, 90.00 degrees
Sites, in units of the cell vectors:
1 Ta 0.000 0.000 0.000
2 Cr 0.000 0.000 0.500
3 Fe 0.500 0.500 0.294
4 Fe 0.500 0.500 0.706

Results
* electronic total energy: -9.562 eV/atom

***

Computed, not measured: CeHo3Ru8 after structural relaxation at the GGA-PBE level of DFT.

Cell lengths 5.325, 5.325, 9.283 Å; angles 106.72, 106.72, 60.04 degrees
Sites, in units of the cell vectors:
1 Ce 0.000 0.000 0.000
2 Ho 0.375 0.375 0.125
3 Ho 0.499 0.499 0.498
4 Ho 0.875 0.875 0.624
5 Ru 0.187 0.187 0.561
6 Ru 0.437 0.437 0.810
7 Ru 0.437 0.936 0.810
8 Ru 0.440 0.937 0.314
9 Ru 0.687 0.687 0.062
10 Ru 0.936 0.437 0.810
11 Ru 0.937 0.440 0.314
12 Ru 0.937 0.937 0.314

Results
* electronic total energy: -8.127 eV/atom